# 1
Crystalline TiZnCd at its relaxed geometry, computed with GGA-PBE.

- E_tot: -3.379 eV per atom
- Crystal system: monoclinic
- Volume: 108.9 Å³ per cell
- Space group: C2/m

Cell and atoms, written as CIF:
```
data_TiZnCd
_space_group_name_H-M_alt 'P 1'
_space_group_IT_number 1
_cell_length_a 4.913
_cell_length_b 4.913
_cell_length_c 7.968
_cell_angle_alpha 96.29
_cell_angle_beta 96.29
_cell_angle_gamma 34.75
loop_
_space_group_symop_operation_xyz
'x,y,z'
loop_
_atom_site_label
_atom_site_type_symbol
_atom_site_fract_x
_atom_site_fract_y
_atom_site_fract_z
Ti1 Ti 0.132 0.132 0.433
Ti2 Ti 0.868 0.868 0.567
Zn1 Zn 0.393 0.393 0.276
Zn2 Zn 0.607 0.607 0.724
Cd1 Cd 0.352 0.352 0.894
Cd2 Cd 0.648 0.648 0.106
```

# 2
Crystalline TiZnCd2 at its relaxed geometry, computed with GGA-PBE.

- E_tot: -2.708 eV per atom
- Crystal system: tetragonal
- Volume: 74.0 Å³ per cell
- Space group: P4/mmm

Cell and atoms, written as CIF:
```
data_TiZnCd2
_space_group_name_H-M_alt 'P 1'
_space_group_IT_number 1
_cell_length_a 3.064
_cell_length_b 3.064
_cell_length_c 7.882
_cell_angle_alpha 90.00
_cell_angle_beta 90.00
_cell_angle_gamma 90.00
loop_
_space_group_symop_operation_xyz
'x,y,z'
loop_
_atom_site_label
_atom_site_type_symbol
_atom_site_fract_x
_atom_site_fract_y
_atom_site_fract_z
Ti1 Ti 0.000 0.000 0.000
Zn1 Zn 0.000 0.000 0.500
Cd1 Cd 0.500 0.500 0.259
Cd2 Cd 0.500 0.500 0.741
```

# 3
Crystalline TiZnCd3 at its relaxed geometry, computed with GGA-PBE.

- ΔE to the lowest computed polymorph: 0 meV/atom
- E_tot: -1.773 eV per atom
- Crystal system: cubic
- Volume: 120.5 Å³ per cell
- Space group: Pm-3m

Cell and atoms, written as CIF:
```
data_TiZnCd3
_space_group_name_H-M_alt 'P 1'
_space_group_IT_number 1
_cell_length_a 4.939
_cell_length_b 4.939
_cell_length_c 4.939
_cell_angle_alpha 90.00
_cell_angle_beta 90.00
_cell_angle_gamma 90.00
loop_
_space_group_symop_operation_xyz
'x,y,z'
loop_
_atom_site_label
_atom_site_type_symbol
_atom_site_fract_x
_atom_site_fract_y
_atom_site_fract_z
Ti1 Ti 0.000 0.000 0.000
Zn1 Zn 0.500 0.500 0.500
Cd1 Cd 0.000 0.500 0.500
Cd2 Cd 0.500 0.000 0.500
Cd3 Cd 0.500 0.500 0.000
```

# 4
Crystalline TiZnCd3 at its relaxed geometry, computed with GGA-PBE.

- ΔE to the lowest computed polymorph: 221 meV/atom
- E_tot: -1.552 eV per atom
- Crystal system: cubic
- Volume: 168.1 Å³ per cell
- Space group: Pm-3m

Cell and atoms, written as CIF:
```
data_TiZnCd3
_space_group_name_H-M_alt 'P 1'
_space_group_IT_number 1
_cell_length_a 5.519
_cell_length_b 5.519
_cell_length_c 5.519
_cell_angle_alpha 90.00
_cell_angle_beta 90.00
_cell_angle_gamma 90.00
loop_
_space_group_symop_operation_xyz
'x,y,z'
loop_
_atom_site_label
_atom_site_type_symbol
_atom_site_fract_x
_atom_site_fract_y
_atom_site_fract_z
Ti1 Ti 0.000 0.000 0.000
Zn1 Zn 0.500 0.500 0.500
Cd1 Cd 0.000 0.000 0.500
Cd2 Cd 0.000 0.500 0.000
Cd3 Cd 0.500 0.000 0.000
```

# 5
Crystalline TiZn2Cd2 at its relaxed geometry, computed with GGA-PBE.

- ΔE to the lowest computed polymorph: 76 meV/atom
- E_tot: -2.244 eV per atom
- Crystal system: tetragonal
- Volume: 97.4 Å³ per cell
- Space group: I4/mmm

Cell and atoms, written as CIF:
```
data_TiZn2Cd2
_space_group_name_H-M_alt 'P 1'
_space_group_IT_number 1
_cell_length_a 8.559
_cell_length_b 8.559
_cell_length_c 8.559
_cell_angle_alpha 156.77
_cell_angle_beta 156.77
_cell_angle_gamma 33.08
loop_
_space_group_symop_operation_xyz
'x,y,z'
loop_
_atom_site_label
_atom_site_type_symbol
_atom_site_fract_x
_atom_site_fract_y
_atom_site_fract_z
Ti1 Ti 0.000 0.000 0.000
Zn1 Zn 0.250 0.750 0.500
Zn2 Zn 0.750 0.250 0.500
Cd1 Cd 0.394 0.394 0.000
Cd2 Cd 0.606 0.606 0.000
```

# 6
Crystalline Ti4Zn5Cd at its relaxed geometry, computed with GGA-PBE.

- E_tot: -3.997 eV per atom
- Crystal system: tetragonal
- Volume: 161.1 Å³ per cell
- Space group: P4/mmm

Cell and atoms, written as CIF:
```
data_Ti4Zn5Cd
_space_group_name_H-M_alt 'P 1'
_space_group_IT_number 1
_cell_length_a 3.163
_cell_length_b 3.163
_cell_length_c 16.108
_cell_angle_alpha 90.00
_cell_angle_beta 90.00
_cell_angle_gamma 90.00
loop_
_space_group_symop_operation_xyz
'x,y,z'
loop_
_atom_site_label
_atom_site_type_symbol
_atom_site_fract_x
_atom_site_fract_y
_atom_site_fract_z
Ti1 Ti 0.000 0.000 0.097
Ti2 Ti 0.000 0.000 0.293
Ti3 Ti 0.000 0.000 0.707
Ti4 Ti 0.000 0.000 0.903
Zn1 Zn 0.500 0.500 0.000
Zn2 Zn 0.500 0.500 0.192
Zn3 Zn 0.500 0.500 0.387
Zn4 Zn 0.500 0.500 0.613
Zn5 Zn 0.500 0.500 0.808
Cd1 Cd 0.000 0.000 0.500
```